No. 1
VASP calculation (PBE) on a relaxed structure of Sc2AgHg.

Properties
Total moment ... 0.007 μB per atom
Formation enthalpy at 0 K ... -0.3500 eV/atom
VASP energy ... -4.295 eV/atom

a b c (Å): 7.125 7.108 6.525
angles (deg): 90.00 90.00 90.00
Space group Pnma (No. 62)
Inequivalent atoms, fractional coordinates:
1 Sc 0.249 0.001 0.249
2 Ag 0.002 0.750 0.001
3 Hg 0.001 0.250 0.502

***

No. 2
VASP calculation (PBE) on a relaxed structure of Lu2ZrAu.

Properties
Total moment ... 0.249 μB per atom
Formation enthalpy at 0 K ... -0.0730 eV/atom
VASP energy ... -5.288 eV/atom

a b c (Å): 7.137 7.137 7.137
angles (deg): 90.00 90.00 90.00
Space group F-43m (No. 216)
Inequivalent atoms, fractional coordinates:
1 Lu 0.000 0.000 0.000
2 Lu 0.250 0.250 0.250
3 Zr 0.000 0.000 0.500
4 Au 0.250 0.250 0.750

***

No. 3
VASP calculation (PBE) on a relaxed structure of LiZrNiBi.

Properties
Total moment ... 0.004 μB per atom
VASP energy ... -5.112 eV/atom

a b c (Å): 6.546 6.546 6.546
angles (deg): 90.00 90.00 90.00
Space group F-43m (No. 216)
Inequivalent atoms, fractional coordinates:
1 Li 0.000 0.000 0.000
2 Zr 0.250 0.250 0.750
3 Ni 0.000 0.000 0.500
4 Bi 0.250 0.250 0.250

***

No. 4
VASP calculation (PBE) on a relaxed structure of MoPt2.

Properties
Total moment ... 0.000 μB per atom
Formation enthalpy at 0 K ... 0.1736 eV/atom
VASP energy ... -7.480 eV/atom

a b c (Å): 7.298 7.298 7.298
angles (deg): 90.00 90.00 90.00
Space group Fd-3m (No. 227, origin choice 2)
Inequivalent atoms, fractional coordinates:
1 Mo 0.125 0.125 0.125
2 Pt 0.000 0.000 0.500

***

No. 5
VASP calculation (PBE) on a relaxed structure of K3NaP2Pd2.

Properties
VASP energy ... -3.608 eV/atom

a b c (Å): 6.115 5.683 6.128
angles (deg): 90.00 104.45 90.00
Space group Pm (No. 6)
Inequivalent atoms, fractional coordinates:
1 K 0.000 0.000 0.000
2 K 0.300 0.500 0.292
3 K 0.634 0.500 0.937
4 Na 0.310 0.000 0.625
5 P 0.074 0.500 0.727
6 P 0.558 0.000 0.257
7 Pd 0.841 0.248 0.467

***

No. 6
VASP calculation (PBE) on a relaxed structure of Pr3HfF4.

Properties
Total moment ... 0.070 μB per atom
VASP energy ... -5.940 eV/atom

a b c (Å): 5.582 5.582 11.116
angles (deg): 90.00 90.00 90.00
Space group I-42m (No. 121)
Inequivalent atoms, fractional coordinates:
1 Pr 0.000 0.000 0.000
2 Pr 0.000 0.500 0.250
3 Hf 0.000 0.000 0.500
4 F 0.238 0.238 0.866

***

No. 7
VASP calculation (PBE) on a relaxed structure of NbTc2Ir.

Properties
Total moment ... 0.405 μB per atom
Formation enthalpy at 0 K ... 0.0814 eV/atom
VASP energy ... -9.836 eV/atom

a b c (Å): 6.299 6.299 6.299
angles (deg): 90.00 90.00 90.00
Space group F-43m (No. 216)
Inequivalent atoms, fractional coordinates:
1 Nb 0.000 0.000 0.000
2 Tc 0.000 0.000 0.500
3 Tc 0.250 0.250 0.750
4 Ir 0.250 0.250 0.250

***

No. 8
VASP calculation (PBE) on a relaxed structure of Sm2In3Co9.

Properties
Total moment ... 0.852 μB per atom
VASP energy ... -5.884 eV/atom

a b c (Å): 4.945 22.566 4.054
angles (deg): 90.00 90.00 90.00
Space group Cmmm (No. 65)
Inequivalent atoms, fractional coordinates:
1 Sm 0.000 0.179 0.000
2 In 0.000 0.299 0.500
3 In 0.000 0.500 0.000
4 Co 0.000 0.000 0.500
5 Co 0.000 0.056 0.000
6 Co 0.000 0.385 0.000
7 Co 0.248 0.409 0.500

***

No. 9
VASP calculation (PBE) on a relaxed structure of LiCdAsPd.

Properties
VASP energy ... -3.466 eV/atom

a b c (Å): 6.443 6.443 6.443
angles (deg): 90.00 90.00 90.00
Space group F-43m (No. 216)
Inequivalent atoms, fractional coordinates:
1 Li 0.000 0.000 0.000
2 Cd 0.250 0.250 0.750
3 As 0.000 0.000 0.500
4 Pd 0.250 0.250 0.250

***

No. 10
VASP calculation (PBE) on a relaxed structure of FeAgBOs.

Properties
Total moment ... 0.694 μB per atom
VASP energy ... -6.279 eV/atom

a b c (Å): 5.881 5.881 5.881
angles (deg): 90.00 90.00 90.00
Space group F-43m (No. 216)
Inequivalent atoms, fractional coordinates:
1 Fe 0.000 0.000 0.000
2 Ag 0.250 0.250 0.250
3 B 0.250 0.250 0.750
4 Os 0.000 0.000 0.500

***

No. 11
VASP calculation (PBE) on a relaxed structure of NbMoS4.

Properties
Total moment ... 0.001 μB per atom
VASP energy ... -7.171 eV/atom

a b c (Å): 3.281 12.959 5.674
angles (deg): 90.00 90.00 90.00
Space group Cmm2 (No. 35)
Inequivalent atoms, fractional coordinates:
1 Nb 0.000 0.000 0.000
2 Mo 0.000 0.500 0.493
3 S 0.000 0.119 0.658
4 S 0.000 0.379 0.168

***

No. 12
VASP calculation (PBE) on a relaxed structure of K2YAgBr6.

Properties
Total moment ... 0.000 μB per atom
VASP energy ... -3.638 eV/atom

a b c (Å): 11.239 11.239 11.239
angles (deg): 90.00 90.00 90.00
Space group Fm-3m (No. 225)
Inequivalent atoms, fractional coordinates:
1 K 0.250 0.250 0.250
2 Y 0.000 0.000 0.000
3 Ag 0.000 0.000 0.500
4 Br 0.000 0.000 0.248

***

No. 13
VASP calculation (PBE) on a relaxed structure of Cu2Te2PdF2.

Properties
VASP energy ... -3.775 eV/atom

a b c (Å): 3.505 3.505 9.503
angles (deg): 90.00 90.00 90.00
Space group P-4m2 (No. 115)
Inequivalent atoms, fractional coordinates:
1 Cu 0.000 0.500 0.133
2 Te 0.000 0.500 0.712
3 Pd 0.000 0.000 0.500
4 F 0.000 0.000 0.000
5 F 0.500 0.500 0.000

***

No. 14
VASP calculation (PBE) on a relaxed structure of ZnPbSO.

Properties
VASP energy ... -4.338 eV/atom

a b c (Å): 6.065 6.972 7.184
angles (deg): 90.00 90.00 90.00
Space group P2_12_12_1 (No. 19)
Inequivalent atoms, fractional coordinates:
1 Zn 0.034 0.202 0.414
2 Pb 0.112 0.645 0.602
3 S 0.185 0.947 0.249
4 O 0.215 0.611 0.935

***

No. 15
VASP calculation (PBE) on a relaxed structure of PtPbSO.

Properties
Total moment ... 0.000 μB per atom
VASP energy ... -5.149 eV/atom

a b c (Å): 6.476 7.774 5.902
angles (deg): 90.00 90.00 90.00
Space group Pca2_1 (No. 29)
Inequivalent atoms, fractional coordinates:
1 Pt 0.144 0.161 0.000
2 Pb 0.067 0.657 0.022
3 S 0.148 0.971 0.684
4 O 0.045 0.618 0.422

***

No. 16
VASP calculation (PBE) on a relaxed structure of NdBePO.

Properties
Total moment ... 0.001 μB per atom
VASP energy ... -6.220 eV/atom

a b c (Å): 3.129 5.446 6.996
angles (deg): 90.00 90.00 90.00
Space group Pmc2_1 (No. 26)
Inequivalent atoms, fractional coordinates:
1 Nd 0.000 0.189 0.000
2 Be 0.500 0.303 0.368
3 P 0.500 0.364 0.675
4 O 0.000 0.180 0.332

***

No. 17
VASP calculation (PBE) on a relaxed structure of ScNbN2O.

Properties
Total moment ... 0.000 μB per atom
VASP energy ... -9.170 eV/atom

a b c (Å): 7.675 7.759 5.441
angles (deg): 90.00 133.62 90.00
Space group C2/m (No. 12)
Inequivalent atoms, fractional coordinates:
1 Sc 0.226 0.000 0.013
2 Nb 0.250 0.250 0.500
3 N 0.000 0.178 0.000
4 N 0.225 0.000 0.619
5 O 0.000 0.341 0.500

***

No. 18
VASP calculation (PBE) on a relaxed structure of CdH8Pb2C4Br2O4.

Properties
VASP energy ... -5.113 eV/atom

a b c (Å): 7.380 8.147 10.812
angles (deg): 84.79 89.32 64.70
Space group P-1 (No. 2)
Inequivalent atoms, fractional coordinates:
1 Cd 0.179 0.047 0.244
2 H 0.115 0.337 0.487
3 H 0.118 0.573 0.598
4 H 0.150 0.548 0.364
5 H 0.214 0.637 0.921
6 H 0.284 0.660 0.426
7 H 0.437 0.630 0.850
8 H 0.440 0.651 0.081
9 H 0.472 0.830 0.991
10 Pb 0.084 0.166 0.890
11 Pb 0.249 0.927 0.600
12 C 0.021 0.682 0.528
13 C 0.131 0.672 0.407
14 C 0.300 0.718 0.897
15 C 0.364 0.772 0.014
16 Br 0.176 0.363 0.153
17 Br 0.446 0.190 0.677
18 O 0.027 0.830 0.322
19 O 0.035 0.142 0.429
20 O 0.181 0.875 0.816
21 O 0.191 0.905 0.067

***

No. 19
VASP calculation (PBE) on a relaxed structure of DyYPd6.

Properties
Total moment ... 0.002 μB per atom
Formation enthalpy at 0 K ... -0.8791 eV/atom
VASP energy ... -6.144 eV/atom

a b c (Å): 4.116 4.116 8.231
angles (deg): 90.00 90.00 90.00
Space group P4/mmm (No. 123)
Inequivalent atoms, fractional coordinates:
1 Dy 0.000 0.000 0.000
2 Y 0.000 0.000 0.500
3 Pd 0.000 0.500 0.249
4 Pd 0.500 0.500 0.000
5 Pd 0.500 0.500 0.500

***

No. 20
VASP calculation (PBE) on a relaxed structure of Be2CdAu2.

Properties
VASP energy ... -3.093 eV/atom

a b c (Å): 3.578 3.578 12.009
angles (deg): 90.00 90.00 90.00
Space group I4/mmm (No. 139)
Inequivalent atoms, fractional coordinates:
1 Be 0.000 0.500 0.250
2 Cd 0.000 0.000 0.000
3 Au 0.000 0.000 0.377

***

| no. | calculated density (g cm⁻³) |
| --- | --- |
| 1 | 8.007 |
| 2 | 11.658 |
| 3 | 8.664 |
| 4 | 16.616 |
| 5 | 3.342 |
| 6 | 6.494 |
| 7 | 12.784 |
| 8 | 8.631 |
| 9 | 7.469 |
| 10 | 11.912 |
| 11 | 4.365 |
| 12 | 3.530 |
| 13 | 7.493 |
| 14 | 7.011 |
| 15 | 10.067 |
| 16 | 5.577 |
| 17 | 5.151 |
| 18 | 4.580 |
| 19 | 10.598 |
| 20 | 11.330 |